(1)
## LiTl2HgAs (PBE)

Data for an optimized crystal structure of LiTl2HgAs.

Unit cell a=5.1960 b=5.1960 c=4.8991 alpha=90.00 beta=90.00 gamma=90.00
Atoms (fractional coordinates):
Li  0.0000  0.0000  0.0000
Tl  0.0000  0.5000  0.0000
Tl  0.5000  0.0000  0.0000
Hg  0.0000  0.0000  0.5000
As  0.5000  0.5000  0.5000

space group	P4/mmm
energy of formation	275.2	meV/atom


(2)
## Y2CuHRh (PBE)

Data for an optimized crystal structure of Y2CuHRh.

Unit cell a=4.8742 b=4.8742 c=3.5553 alpha=90.00 beta=90.00 gamma=90.00
Atoms (fractional coordinates):
Y  0.0000  0.5000  0.0000
Y  0.5000  0.0000  0.0000
Cu  0.0000  0.0000  0.5000
H  0.0000  0.0000  0.0000
Rh  0.5000  0.5000  0.5000

space group	P4/mmm


no.,VASP energy (eV/atom)
1,-2.044
2,-6.071